{"formula": "NdThGaHg", "functional": "PBE", "state": "relaxed", "lattice": [[5.339, 0.000, 0.000], [2.670, 4.624, 0.000], [2.670, 1.541, 4.359]], "species": ["Hg", "Ga", "Th", "Nd"], "fractional_positions": [[0.750, 0.750, 0.750], [0.250, 0.250, 0.250], [0.000, 0.000, 0.000], [0.500, 0.500, 0.500]], "e_form_ev_per_fu": -1.5, "n_ef_per_ev_cell": 5.0, "e_tot_ev_per_atom": -4.252, "vol_a3_per_cell": 107.61}